Entry 1:
TaGeSeBr2: relaxed, GGA-PBE.

Cell lengths 5.118, 5.118, 5.248 Å; angles 90.00, 90.00, 90.00 degrees
Site moments in Bohr magnetons follow the coordinates.
Fractional coordinates of all 5 atoms:
Ge (0.000, 0.000, 0.000)  0.01
Br (0.500, 0.000, 0.000)  0.00
Br (0.000, 0.500, 0.000)  0.00
Se (0.000, 0.000, 0.500)  -0.11
Ta (0.500, 0.500, 0.500)  2.23

## Properties
The value obtained for the relative energy among the computed polymorphs is 0.6950 eV/atom. As for the raw formation energy: 4.52 eV/f.u.

=====

Entry 2:
TaGeSe2Br: relaxed, GGA-PBE.

Cell lengths 4.997, 4.997, 4.960 Å; angles 90.00, 90.00, 90.00 degrees
Site moments in Bohr magnetons follow the coordinates.
Fractional coordinates of all 5 atoms:
Ge (0.000, 0.000, 0.000)  0.01
Ta (0.500, 0.500, 0.500)  1.99
Br (0.000, 0.000, 0.500)  -0.03
Se (0.500, 0.000, 0.000)  -0.12
Se (0.000, 0.500, 0.000)  -0.12

## Properties
The value obtained for the relative energy among the computed polymorphs is 0.7752 eV/atom. As for the raw formation energy: 4.45 eV/f.u.

=====

Entry 3:
TaGeSeBr2: relaxed, GGA-PBE.

Cell lengths 5.151, 5.151, 5.069 Å; angles 90.00, 90.00, 90.00 degrees
Site moments in Bohr magnetons follow the coordinates.
Fractional coordinates of all 5 atoms:
Se (0.000, 0.000, 0.500)  -0.04
Br (0.000, 0.500, 0.000)  0.01
Br (0.500, 0.000, 0.000)  0.01
Ge (0.500, 0.500, 0.500)  0.50
Ta (0.000, 0.000, 0.000)  0.34

## Properties
The value obtained for the relative energy among the computed polymorphs is 0.0000 eV/atom. As for the raw formation energy: 1.04 eV/f.u.